Computed, not measured: a relaxed Sm6Tl3Au crystal at the PBE-GGA level of DFT.

Computed properties:
calculated density = 9.4 g cm⁻³
E_form = -3.35 eV/f.u.
crystal system = orthorhombic

Lattice parameters (Å, degrees): 9.282 12.193 5.334 90.00 90.00 90.00
Fractional coordinates of all 20 atoms:
Sm (0.005, 0.242, 0.000)
Sm (0.161, 0.086, 0.500)
Sm (0.175, 0.413, 0.500)
Sm (0.325, 0.913, 0.000)
Sm (0.339, 0.586, 0.000)
Sm (0.495, 0.742, 0.500)
Sm (0.505, 0.258, 0.500)
Sm (0.661, 0.414, 0.000)
Sm (0.675, 0.087, 0.000)
Sm (0.825, 0.587, 0.500)
Sm (0.839, 0.914, 0.500)
Sm (0.995, 0.758, 0.000)
Tl (0.000, 0.500, 0.000)
Tl (0.162, 0.740, 0.500)
Tl (0.338, 0.240, 0.000)
Tl (0.500, 0.000, 0.500)
Tl (0.662, 0.760, 0.000)
Tl (0.838, 0.260, 0.500)
Au (0.000, 0.000, 0.000)
Au (0.500, 0.500, 0.500)

=====

Computed, not measured: a relaxed Li2CaInPd crystal at the PBE-GGA level of DFT.

Computed properties:
ΔE to the lowest computed polymorph = 0 meV per atom
calculated density = 3.8 g cm⁻³
E_form = -1.37 eV/f.u.
crystal system = tetragonal

Lattice parameters (Å, degrees): 4.811 4.811 5.186 90.00 90.00 90.00
Fractional coordinates of all 5 atoms:
Li (0.000, 0.500, 0.000)
Li (0.500, 0.000, 0.000)
Ca (0.000, 0.000, 0.500)
In (0.500, 0.500, 0.500)
Pd (0.500, 0.500, 0.000)

=====

For the records above, the corresponding V values read 603.63, 120.05 Å³ per cell.